1.
# Ho3Zn8Cd3, optimized geometry, DFT PBE
data_Ho3Zn8Cd3
_chemical_formula_sum 'Ho6 Zn16 Cd6'
_symmetry_space_group_name_H-M 'I m m m'
_symmetry_Int_Tables_number 71
_symmetry_space_group_name_Hall '-I 2 2'
_cell_length_a 4.450
_cell_length_b 9.160
_cell_length_c 13.295
_cell_angle_alpha 90.00
_cell_angle_beta 90.00
_cell_angle_gamma 90.00
loop_
_atom_site_label
_atom_site_type_symbol
_atom_site_fract_x
_atom_site_fract_y
_atom_site_fract_z
Ho1 Ho 0.000 0.000 0.000
Ho2 Ho 0.000 0.000 0.293
Zn1 Zn 0.000 0.271 0.147
Zn2 Zn 0.000 0.366 0.334
Cd1 Cd 0.000 0.205 0.500
Cd2 Cd 0.000 0.500 0.000
# Energy of formation from the pure elements = -287.6 meV per atom
# Mass density = 8.3 Mg/m³


2.
# Ho6ZnCd3, optimized geometry, DFT PBE
data_Ho6ZnCd3
_chemical_formula_sum 'Ho12 Zn2 Cd6'
_symmetry_space_group_name_H-M 'P 1 21/m 1'
_symmetry_Int_Tables_number 11
_symmetry_space_group_name_Hall '-P 2yb'
_cell_length_a 9.116
_cell_length_b 5.248
_cell_length_c 11.533
_cell_angle_alpha 90.00
_cell_angle_beta 108.53
_cell_angle_gamma 90.00
loop_
_atom_site_label
_atom_site_type_symbol
_atom_site_fract_x
_atom_site_fract_y
_atom_site_fract_z
Ho1 Ho 0.032 0.250 0.412
Ho2 Ho 0.168 0.750 0.172
Ho3 Ho 0.265 0.250 0.006
Ho4 Ho 0.350 0.750 0.819
Ho5 Ho 0.368 0.250 0.340
Ho6 Ho 0.398 0.250 0.632
Zn1 Zn 0.457 0.750 0.099
Cd1 Cd 0.027 0.750 0.876
Cd2 Cd 0.110 0.250 0.721
Cd3 Cd 0.273 0.750 0.474
# Energy of formation from the pure elements = -217.5 meV per atom
# Mass density = 8.8 Mg/m³